! Ce6In2HO | the Alexandria database | GGA-PBE | optimized geometry; values from VASP
&SYSTEM
  ibrav = 0, nat = 10, ntyp = 4
/
ATOMIC_SPECIES
Ce 140.12 Ce.upf
In 114.82 In.upf
H 1.01 H.upf
O 16.00 O.upf
ATOMIC_POSITIONS angstrom
Ce 4.9227 4.9227 2.4419
Ce 4.9227 2.4419 4.9227
Ce 7.4034 4.9227 4.9227
Ce 2.4419 4.9227 4.9227
Ce 4.9227 7.4034 4.9227
Ce 4.9227 4.9227 7.4034
In 2.4613 2.4613 2.4613
In 7.3840 7.3840 7.3840
H 4.9227 4.9227 4.9227
O 0.0000 0.0000 0.0000
CELL_PARAMETERS angstrom
0.0000 4.9227 4.9227
4.9227 0.0000 4.9227
4.9227 4.9227 0.0000
! DOS at the Fermi energy = 16.36 states/eV/cell
! calculated total energy = -5.736 eV/atom
! magnetization = 7.44 μB/f.u.